The following is a DFT calculation (GGA-PBE) of a geometry-optimized Y4Mg2Cu3 structure.

- E_form (eV/atom) = -0.092
- magnetic moment (μB per cell) = 0.005
- space-group type = C2/m, No. 12

Lattice parameters (Å, degrees): 8.290 8.290 7.579 74.52 74.52 24.60
Element x y z (fractional)
Y 0.251 0.251 0.701
Y 0.560 0.560 0.658
Y 0.440 0.440 0.342
Y 0.749 0.749 0.299
Mg 0.623 0.623 0.037
Mg 0.377 0.377 0.963
Cu 0.093 0.093 0.340
Cu 0.000 0.000 0.000
Cu 0.907 0.907 0.660